Density functional theory data (PBE-GGA) for a relaxed Li4CuP2O8 crystal.

Unit cell a=6.3373 b=5.0023 c=10.5859 alpha=90.00 beta=91.37 gamma=90.00
Space group Pc (No. 7)
One atom of each set of equivalent atoms:
1 Li 0.0000 0.0385 0.0000 [2 per cell]
2 Li 0.2426 0.0630 0.7630 [2 per cell]
3 Li 0.2483 0.4400 0.0871 [2 per cell]
4 Li 0.7372 0.4373 0.0784 [2 per cell]
5 Cu 0.7143 0.0738 0.7640 [2 per cell]
6 P 0.4904 0.0752 0.5184 [2 per cell]
7 P 0.9880 0.4543 0.3304 [2 per cell]
8 O 0.1761 0.4437 0.7567 [2 per cell]
9 O 0.2950 0.0458 0.0838 [2 per cell]
10 O 0.4894 0.0203 0.8784 [2 per cell]
11 O 0.4896 0.3784 0.5290 [2 per cell]
12 O 0.7036 0.0356 0.0821 [2 per cell]
13 O 0.7782 0.4570 0.7590 [2 per cell]
14 O 0.9857 0.1386 0.3318 [2 per cell]
15 O 0.9886 0.4403 0.9685 [2 per cell]

- DOS(E_F) (states/eV/f.u.) = 3.69
- energy above the lowest structure with this stoichiometry (kJ per mole of atoms) = 1.8
- uncorrected formation energy (eV/atom) = -2.09
- calculated density (g/cm³) = 2.78